Below is ErTmCS after structural relaxation, with properties calculated at the PBE level.

Geometry as CIF:
```
data_ErTmCS
_chemical_formula_sum 'Er2 Tm2 C2 S2'
_cell_length_a 3.6537
_cell_length_b 3.6537
_cell_length_c 12.7118
_cell_angle_alpha 90.00
_cell_angle_beta 90.00
_cell_angle_gamma 120.00
_symmetry_space_group_name_H-M 'P -3 m 1'
_symmetry_Int_Tables_number 164
_symmetry_space_group_name_Hall '-P 3 2"'
loop_
_atom_site_label
_atom_site_type_symbol
_atom_site_fract_x
_atom_site_fract_y
_atom_site_fract_z
Er1 Er 0.3333 0.6667 0.1040
Tm1 Tm 0.3333 0.6667 0.3969
C1 C 0.0000 0.0000 0.0000
C2 C 0.0000 0.0000 0.5000
S1 S 0.3333 0.6667 0.7492
```

- DFT total energy: -6.897 eV per atom

=====

Below is Ta4Ge3W2N3 after structural relaxation, with properties calculated at the PBE level.

Geometry as CIF:
```
data_Ta4Ge3W2N3
_chemical_formula_sum 'Ta16 Ge12 W8 N12'
_cell_length_a 9.623
_cell_length_b 5.414
_cell_length_c 13.116
_cell_angle_alpha 90.00
_cell_angle_beta 104.50
_cell_angle_gamma 90.00
_symmetry_space_group_name_H-M 'C 1 2/c 1'
_symmetry_Int_Tables_number 15
loop_
_symmetry_equiv_pos_as_xyz
'x,y,z'
'-x,-y,-z'
'-x,y,-z+1/2'
'x,-y,z+1/2'
'x+1/2,y+1/2,z'
'-x+1/2,-y+1/2,-z'
'-x+1/2,y+1/2,-z+1/2'
'x+1/2,-y+1/2,z+1/2'
loop_
_atom_site_label
_atom_site_type_symbol
_atom_site_fract_x
_atom_site_fract_y
_atom_site_fract_z
Ta1 Ta 0.111 0.089 0.087
Ta2 Ta 0.223 0.085 0.412
Ge1 Ge 0.000 0.061 0.750
Ge2 Ge 0.172 0.416 0.249
W1 W 0.049 0.412 0.892
N1 N 0.077 0.269 0.500
N2 N 0.250 0.250 0.000
```

- DFT total energy: -9.591 eV per atom

=====

Below is Sc2Cd2Ge3 after structural relaxation, with properties calculated at the PBE level.

Geometry as CIF:
```
data_Sc2Cd2Ge3
_chemical_formula_sum 'Sc6 Cd6 Ge9'
_cell_length_a 4.4742
_cell_length_b 4.4742
_cell_length_c 26.0849
_cell_angle_alpha 90.00
_cell_angle_beta 90.00
_cell_angle_gamma 120.00
_symmetry_space_group_name_H-M 'R 3 m'
_symmetry_Int_Tables_number 160
_symmetry_space_group_name_Hall 'R 3 -2"'
loop_
_atom_site_label
_atom_site_type_symbol
_atom_site_fract_x
_atom_site_fract_y
_atom_site_fract_z
Sc1 Sc 0.0000 0.0000 0.0000
Sc2 Sc 0.0000 0.0000 0.4969
Cd1 Cd 0.0000 0.0000 0.2454
Cd2 Cd 0.0000 0.0000 0.7536
Ge1 Ge 0.0000 0.0000 0.3902
Ge2 Ge 0.0000 0.0000 0.6275
Ge3 Ge 0.0000 0.0000 0.8618
```

- DFT total energy: -4.260 eV per atom

=====

Below is Sm2BBrN2 after structural relaxation, with properties calculated at the PBE level.

Geometry as CIF:
```
data_Sm2BBrN2
_chemical_formula_sum 'Sm6 B3 Br3 N6'
_cell_length_a 3.9971
_cell_length_b 3.9971
_cell_length_c 24.9297
_cell_angle_alpha 90.00
_cell_angle_beta 90.00
_cell_angle_gamma 120.00
_symmetry_space_group_name_H-M 'R -3 m'
_symmetry_Int_Tables_number 166
_symmetry_space_group_name_Hall '-R 3 2"'
loop_
_atom_site_label
_atom_site_type_symbol
_atom_site_fract_x
_atom_site_fract_y
_atom_site_fract_z
Sm1 Sm 0.0000 0.0000 0.2396
B1 B 0.0000 0.0000 0.5000
Br1 Br 0.0000 0.0000 0.0000
N1 N 0.0000 0.0000 0.4432
```

- DFT total energy: -6.909 eV per atom

=====

Below is K2PrH6O6 after structural relaxation, with properties calculated at the PBE level.

Geometry as CIF:
```
data_K2PrH6O6
_chemical_formula_sum 'K6 Pr3 H18 O18'
_cell_length_a 6.6703
_cell_length_b 6.6703
_cell_length_c 12.7911
_cell_angle_alpha 90.00
_cell_angle_beta 90.00
_cell_angle_gamma 120.00
_symmetry_space_group_name_H-M 'R -3'
_symmetry_Int_Tables_number 148
_symmetry_space_group_name_Hall '-R 3'
loop_
_atom_site_label
_atom_site_type_symbol
_atom_site_fract_x
_atom_site_fract_y
_atom_site_fract_z
K1 K 0.0000 0.0000 0.2104
Pr1 Pr 0.0000 0.0000 0.5000
H1 H 0.0247 0.5631 0.6847
O1 O 0.0081 0.5759 0.2701
```

- DFT total energy: -5.223 eV per atom

=====

Below is LaNbCoCu after structural relaxation, with properties calculated at the PBE level.

Geometry as CIF:
```
data_LaNbCoCu
_chemical_formula_sum 'La4 Nb4 Co4 Cu4'
_cell_length_a 6.479
_cell_length_b 6.479
_cell_length_c 6.479
_cell_angle_alpha 90.00
_cell_angle_beta 90.00
_cell_angle_gamma 90.00
_symmetry_space_group_name_H-M 'F -4 3 m'
_symmetry_Int_Tables_number 216
_symmetry_space_group_name_Hall 'F -4 2 3'
loop_
_atom_site_label
_atom_site_type_symbol
_atom_site_fract_x
_atom_site_fract_y
_atom_site_fract_z
La1 La 0.000 0.000 0.000
Nb1 Nb 0.250 0.250 0.250
Co1 Co 0.000 0.000 0.500
Cu1 Cu 0.250 0.250 0.750
```

- Energy of formation from the pure elements: 0.36 eV per atom